No. 1
## MnAsIr2 (PBE)

Data for MnAsIr2 after structural relaxation.

The value obtained for the energy of formation from the pure elements is 0.222 eV/atom.

Cell: 2.8293 4.8059 8.9525 Å, 90.00 90.00 90.00°
Space group Cmmm (No. 65)
Unique sites:
Mn  0.0000  0.0000  0.0000
As  0.0000  0.0000  0.5000
Ir  0.0000  0.5000  0.2346



No. 2
## POsRh2 (PBE)

Data for POsRh2 after structural relaxation.

The value obtained for the energy of formation from the pure elements is -0.139 eV/atom.

Cell: 3.7529 2.8913 10.1979 Å, 90.00 90.00 90.00°
Space group Amm2 (No. 38)
Unique sites:
P  0.0000  0.0000  0.0000
Os  0.5000  0.0000  0.8552
Rh  0.0000  0.0000  0.2315
Rh  0.5000  0.0000  0.5849



No. 3
## OsRuOF2 (PBE)

Data for OsRuOF2 after structural relaxation.

The value obtained for the energy above the most stable polymorph in this dataset is 0.00 eV per formula unit. The uncorrected formation energy comes out at 0.5 eV per formula unit.

Cell: 4.4635 4.4635 3.6648 Å, 90.00 90.00 90.00°
Space group P4/mmm (No. 123)
Unique sites:
Os  0.0000  0.0000  0.0000
Ru  0.5000  0.5000  0.5000
O  0.0000  0.0000  0.5000
F  0.0000  0.5000  0.0000



No. 4
## MgCdH4Rh2 (PBE)

Data for MgCdH4Rh2 after structural relaxation.

Its total energy is -32.54 eV/f.u.

Cell: 3.4024 3.4024 6.8331 Å, 90.00 90.00 90.00°
Space group P4/mmm (No. 123)
Unique sites:
Mg  0.0000  0.0000  0.0000
Cd  0.0000  0.0000  0.5000
H  0.0000  0.5000  0.1903
Rh  0.5000  0.5000  0.2408



no.,D(E_F) (states/eV/cell)
1,5.57
2,8.16
3,4.48
4,1.99